# Rb2VWF6

A relaxed Rb2VWF6 crystal (PBE with a Hubbard U, Alexandria via LeMat-Bulk).

a = 6.1514 Å, b = 6.1514 Å, c = 6.1514 Å
α = 119.37°, β = 119.37°, γ = 91.10°
Fractional coordinates of all 10 atoms:
Rb 0.2500 0.7500 0.5000
Rb 0.7500 0.2500 0.5000
V 0.0000 0.0000 0.0000
W 0.5000 0.5000 0.0000
F 0.2413 0.2413 0.4825
F 0.2413 0.7587 0.0000
F 0.2473 0.2473 0.0000
F 0.7527 0.7527 0.0000
F 0.7587 0.2413 0.0000
F 0.7587 0.7587 0.5175

Calculated values
Its density is 5.19 g/cm3. The value obtained for the total energy is -51.446 eV for the cell shown.